A geometry-optimized Pm2YCo9 structure. Source: the Alexandria database, functional GGA-PBE.

## Properties
* magnetization: 10.34 μB/cell
* total DFT energy (no corrections): -6.760 eV/atom
* energy of formation from the pure elements: -116 kJ/mol of formula units

Cell: 5.000 5.000 8.751 Å, 73.40 73.40 60.00°
Each line ends with the local moment (μB).
Element x y z (fractional)
Pm: 0.860 0.860 0.419  -0.28
Pm: 0.140 0.140 0.581  -0.28
Y: 0.000 0.000 0.000  -0.22
Co: 0.666 0.666 0.001  1.47
Co: 0.334 0.334 0.999  1.47
Co: 0.500 0.500 0.500  1.08
Co: 0.422 0.422 0.238  1.30
Co: 0.919 0.422 0.238  1.30
Co: 0.422 0.919 0.238  1.30
Co: 0.578 0.578 0.762  1.30
Co: 0.578 0.081 0.762  1.30
Co: 0.081 0.578 0.762  1.30


A geometry-optimized MnSi7 structure. Source: the Alexandria database, functional GGA-PBE.

## Properties
* magnetization: 2.13 μB/cell
* ΔE_f (raw): 0.3714 eV per atom
* total DFT energy (no corrections): -5.520 eV/atom

Cell: 5.349 5.349 5.349 Å, 60.00 60.00 60.00°
Each line ends with the local moment (μB).
Element x y z (fractional)
Mn: 0.000 0.000 0.000  2.25
Si: 0.500 0.500 0.000  -0.01
Si: 0.500 0.000 0.500  -0.01
Si: 0.500 0.000 0.000  -0.01
Si: 0.000 0.000 0.500  -0.01
Si: 0.000 0.500 0.000  -0.01
Si: 0.000 0.500 0.500  -0.01
Si: 0.500 0.500 0.500  0.01


A geometry-optimized NiHRuRh2 structure. Source: the Alexandria database, functional GGA-PBE.

## Properties
* offset from the most stable computed form: 0.06 kcal/mol of atoms
* magnetization: 2.33 μB/cell
* total DFT energy (no corrections): -6.485 eV/atom

Cell: 3.873 3.873 3.777 Å, 90.00 90.00 90.00°
Each line ends with the local moment (μB).
Element x y z (fractional)
Ru: 0.500 0.500 0.500  1.00
Rh: 0.000 0.500 0.000  0.35
Rh: 0.500 0.000 0.000  0.35
H: 0.000 0.000 0.000  0.00
Ni: 0.000 0.000 0.500  0.66


A geometry-optimized DyGa6Pd structure. Source: the Alexandria database, functional GGA-PBE.

## Properties
* magnetization: 0.00 μB/cell
* total DFT energy (no corrections): -3.829 eV/atom
* energy of formation from the pure elements: -258 kJ/mol of formula units

Cell: 4.446 6.059 6.058 Å, 66.93 90.00 90.00°
Element x y z (fractional)
Dy: 0.500 0.000 0.000
Ga: 0.000 0.697 0.303
Ga: 0.000 0.303 0.697
Ga: 0.000 0.793 0.793
Ga: 0.000 0.207 0.207
Ga: 0.500 0.500 0.000
Ga: 0.500 0.000 0.500
Pd: 0.500 0.500 0.500


A geometry-optimized LaAlMo2 structure. Source: the Alexandria database, functional GGA-PBE.

## Properties
* magnetization: 0.00 μB/cell
* total DFT energy (no corrections): -7.232 eV/atom
* energy of formation from the pure elements: 135 kJ/mol of formula units

Cell: 2.816 2.816 9.493 Å, 90.00 90.00 93.58°
Element x y z (fractional)
Mo: 0.000 0.000 0.043
Mo: 0.000 0.000 0.457
Al: 0.500 0.500 0.250
La: 0.500 0.500 0.750


A geometry-optimized ZrPaZnMo structure. Source: the Alexandria database, functional GGA-PBE.

## Properties
* magnetization: 0.00 μB/cell
* total DFT energy (no corrections): -7.493 eV/atom
* energy of formation from the pure elements: 17 kJ/mol of formula units

Cell: 4.853 4.853 4.853 Å, 60.00 60.00 60.00°
Element x y z (fractional)
Mo: 0.500 0.500 0.500
Pa: 0.750 0.750 0.750
Zn: 0.000 0.000 0.000
Zr: 0.250 0.250 0.250